Record 1
First-principles (PBE) data for an optimized crystal structure of YTa2Be, as listed in Alexandria via LeMat-Bulk.

It has space group P4/mmm (No. 123), with a = 4.086 Å, b = 4.086 Å, c = 4.505 Å, α = 90.00°, β = 90.00° and γ = 90.00°. Symmetry generates all atoms from Y at (0.000, 0.000, 0.000), Ta at (0.000, 0.500, 0.500) and Be at (0.500, 0.500, 0.000).

For the total energy, the calculation gives -32.1 eV per cell. The calculation puts the formation energy at 0.448 eV/atom. The value obtained for the size of the total moment is 0.000 μB per cell. As for the crystal system: tetragonal.

***

Record 2
First-principles (PBE) data for an optimized crystal structure of Y2TaBe, as listed in Alexandria via LeMat-Bulk.

It has space group R-3m (No. 166, hexagonal axes), with a = 3.3246 Å, b = 3.3246 Å, c = 28.3881 Å, α = 90.00°, β = 90.00° and γ = 120.00°. Symmetry generates all atoms from Y at (0.0000, 0.0000, 0.2428), Ta at (0.0000, 0.0000, 0.0000) and Be at (0.0000, 0.0000, 0.5000).

For the total energy, the calculation gives -79.2 eV per cell. The calculation puts the formation energy at 0.527 eV/atom. The value obtained for the size of the total moment is 0.001 μB per cell. As for the crystal system: trigonal.

***

Record 3
First-principles (PBE) data for an optimized crystal structure of TaBeZn2, as listed in Alexandria via LeMat-Bulk.

It has space group Cm (No. 8), with a = 9.953 Å, b = 2.589 Å, c = 4.998 Å, α = 90.00°, β = 116.77° and γ = 90.00°. Symmetry generates all atoms from Ta at (0.000, 0.000, 0.000), Be at (0.244, 0.500, 0.055), Zn at (0.235, 0.000, 0.586) and Zn at (0.475, 0.000, 0.475).

For the total energy, the calculation gives -34.9 eV per cell. The calculation puts the formation energy at 0.169 eV/atom. The value obtained for the size of the total moment is 0.000 μB per cell. As for the crystal system: monoclinic.

***

Record 4
First-principles (PBE) data for an optimized crystal structure of TaBeZn2, as listed in Alexandria via LeMat-Bulk.

It has space group I-4m2 (No. 119), with a = 3.898 Å, b = 3.898 Å, c = 7.475 Å, α = 90.00°, β = 90.00° and γ = 90.00°. Symmetry generates all atoms from Ta at (0.000, 0.000, 0.000), Be at (0.000, 0.500, 0.250), Zn at (0.000, 0.000, 0.500) and Zn at (0.000, 0.500, 0.750).

For the total energy, the calculation gives -33.9 eV per cell. The calculation puts the formation energy at 0.298 eV/atom. The value obtained for the size of the total moment is 0.000 μB per cell. As for the crystal system: tetragonal.

***

Record 5
First-principles (PBE) data for an optimized crystal structure of TaBe4Zn, as listed in Alexandria via LeMat-Bulk.

It has space group F-43m (No. 216), with a = 6.386 Å, b = 6.386 Å, c = 6.386 Å, α = 90.00°, β = 90.00° and γ = 90.00°. Symmetry generates all atoms from Ta at (0.000, 0.000, 0.000), Be at (0.129, 0.129, 0.371) and Zn at (0.250, 0.250, 0.750).

For the total energy, the calculation gives -109.7 eV per cell. The calculation puts the formation energy at 0.101 eV/atom. The value obtained for the size of the total moment is 0.000 μB per cell. As for the crystal system: cubic.

***

Record 6
First-principles (PBE) data for an optimized crystal structure of TaBe3Zn, as listed in Alexandria via LeMat-Bulk.

It has space group Pm-3m (No. 221), with a = 3.968 Å, b = 3.968 Å, c = 3.968 Å, α = 90.00°, β = 90.00° and γ = 90.00°. Symmetry generates all atoms from Ta at (0.000, 0.000, 0.000), Be at (0.000, 0.500, 0.500) and Zn at (0.500, 0.500, 0.500).

For the total energy, the calculation gives -20.6 eV per cell. The calculation puts the formation energy at 0.751 eV/atom. The value obtained for the size of the total moment is 0.000 μB per cell. As for the crystal system: cubic.

***

Record 7
First-principles (PBE) data for an optimized crystal structure of TaBeZn2, as listed in Alexandria via LeMat-Bulk.

It has space group P4mm (No. 99), with a = 2.823 Å, b = 2.823 Å, c = 6.896 Å, α = 90.00°, β = 90.00° and γ = 90.00°. Symmetry generates all atoms from Ta at (0.000, 0.000, 0.000), Be at (0.500, 0.500, 0.752), Zn at (0.000, 0.000, 0.557) and Zn at (0.500, 0.500, 0.296).

For the total energy, the calculation gives -18.1 eV per cell. The calculation puts the formation energy at 0.018 eV/atom. The value obtained for the size of the total moment is 0.000 μB per cell. As for the crystal system: tetragonal.

***

Record 8
First-principles (PBE) data for an optimized crystal structure of TaBeZn2, as listed in Alexandria via LeMat-Bulk.

It has space group Amm2 (No. 38), with a = 3.844 Å, b = 2.812 Å, c = 10.484 Å, α = 90.00°, β = 90.00° and γ = 90.00°. Symmetry generates all atoms from Ta at (0.000, 0.000, 0.000), Be at (0.500, 0.000, 0.403), Zn at (0.000, 0.000, 0.266) and Zn at (0.500, 0.000, 0.648).

For the total energy, the calculation gives -35.6 eV per cell. The calculation puts the formation energy at 0.087 eV/atom. The value obtained for the size of the total moment is 0.000 μB per cell. As for the crystal system: orthorhombic.

***

Record 9
First-principles (PBE) data for an optimized crystal structure of Ta4BeZn, as listed in Alexandria via LeMat-Bulk.

It has space group F-43m (No. 216), with a = 7.643 Å, b = 7.643 Å, c = 7.643 Å, α = 90.00°, β = 90.00° and γ = 90.00°. Symmetry generates all atoms from Ta at (0.125, 0.125, 0.125), Be at (0.000, 0.000, 0.500) and Zn at (0.250, 0.250, 0.750).

For the total energy, the calculation gives -191.4 eV per cell. The calculation puts the formation energy at 0.758 eV/atom. The value obtained for the size of the total moment is 0.000 μB per cell. As for the crystal system: cubic.

***

Record 10
First-principles (PBE) data for an optimized crystal structure of TaBeZn2, as listed in Alexandria via LeMat-Bulk.

It has space group P2/m (No. 10), with a = 2.799 Å, b = 4.073 Å, c = 5.072 Å, α = 90.00°, β = 102.55° and γ = 90.00°. Symmetry generates all atoms from Ta at (0.000, 0.000, 0.000), Be at (0.500, 0.000, 0.500) and Zn at (0.366, 0.500, 0.730).

For the total energy, the calculation gives -17.6 eV per cell. The calculation puts the formation energy at 0.142 eV/atom. The value obtained for the size of the total moment is 0.000 μB per cell. As for the crystal system: monoclinic.

***

Record 11
First-principles (PBE) data for an optimized crystal structure of TaBeZn3, as listed in Alexandria via LeMat-Bulk.

It has space group Pm-3m (No. 221), with a = 5.015 Å, b = 5.015 Å, c = 5.015 Å, α = 90.00°, β = 90.00° and γ = 90.00°. Symmetry generates all atoms from Ta at (0.000, 0.000, 0.000), Be at (0.500, 0.500, 0.500) and Zn at (0.000, 0.000, 0.500).

For the total energy, the calculation gives -11.4 eV per cell. The calculation puts the formation energy at 1.601 eV/atom. The value obtained for the size of the total moment is 0.000 μB per cell. As for the crystal system: cubic.

***

Record 12
First-principles (PBE) data for an optimized crystal structure of TaBe3Zn, as listed in Alexandria via LeMat-Bulk.

It has space group Pm-3m (No. 221), with a = 4.503 Å, b = 4.503 Å, c = 4.503 Å, α = 90.00°, β = 90.00° and γ = 90.00°. Symmetry generates all atoms from Ta at (0.000, 0.000, 0.000), Be at (0.000, 0.000, 0.500) and Zn at (0.500, 0.500, 0.500).

For the total energy, the calculation gives -15.9 eV per cell. The calculation puts the formation energy at 1.687 eV/atom. The value obtained for the size of the total moment is 0.000 μB per cell. As for the crystal system: cubic.